1.
# Hf3ZrRe (PBE-GGA, relaxed)
data_Hf3ZrRe
_space_group_name_H-M_alt 'P m -3 m'
_space_group_IT_number 221
_space_group_name_Hall '-P 4 2 3'
_cell_length_a 5.0164
_cell_length_b 5.0164
_cell_length_c 5.0164
_cell_angle_alpha 90.00
_cell_angle_beta 90.00
_cell_angle_gamma 90.00
loop_
_atom_site_label
_atom_site_type_symbol
_atom_site_fract_x
_atom_site_fract_y
_atom_site_fract_z
Hf1 Hf 0.0000 0.0000 0.5000
Zr1 Zr 0.5000 0.5000 0.5000
Re1 Re 0.0000 0.0000 0.0000
# Calculated total energy ... -48.0 eV/cell
# Energy relative to the elements ... 0.580 eV/atom
# Offset from the most stable computed form ... 352 meV per atom


2.
# Ce2UP3Rh12 (PBE-GGA, relaxed)
data_Ce2UP3Rh12
_space_group_name_H-M_alt 'R -3 m'
_space_group_IT_number 166
_space_group_name_Hall '-R 3 2"'
_cell_length_a 8.6702
_cell_length_b 8.6702
_cell_length_c 13.7276
_cell_angle_alpha 90.00
_cell_angle_beta 90.00
_cell_angle_gamma 120.00
loop_
_atom_site_label
_atom_site_type_symbol
_atom_site_fract_x
_atom_site_fract_y
_atom_site_fract_z
Ce1 Ce 0.0000 0.0000 0.1097
U1 U 0.0000 0.0000 0.5000
P1 P 0.0000 0.5000 0.0000
Rh1 Rh 0.0202 0.5101 0.8315
Rh2 Rh 0.0444 0.5222 0.3702
# Calculated total energy ... -407.9 eV/cell
# Energy relative to the elements ... -0.465 eV/atom


> Which value of energy relative to the elements does entry 2 give?

-0.465 eV/atom


> Which value of energy relative to the elements does entry 1 give?

0.580 eV/atom